The following is a PBE-GGA calculation of a geometry-optimized Os3W structure, from Alexandria via LeMat-Bulk.

Properties
As for the formation energy: -0.991 kcal/mol of atoms. Its crystal system is orthorhombic. The total DFT energy (no corrections) is -11.704 eV/atom. The calculation puts the density of states at the Fermi level at 0.654 states/eV/atom. The value obtained for the calculated volume is 14.7 Å³ per atom. The space-group type is Pmmn.

Cell lengths 4.3972, 5.5633, 4.8191 Å; angles 90.00, 90.00, 90.00 degrees
Fractional positions:
Os (0.2500, 0.0004, 0.1658)
Os (0.2500, 0.2500, 0.6699)
Os (0.2500, 0.4996, 0.1658)
Os (0.7500, 0.9996, 0.8342)
Os (0.7500, 0.5004, 0.8342)
Os (0.7500, 0.7500, 0.3301)
W (0.2500, 0.7500, 0.6638)
W (0.7500, 0.2500, 0.3362)